No. 1
Computed, not measured: crystalline AcCd4Ge2 at its relaxed geometry at the PBE level of DFT.

a = 4.458 Å, b = 4.446 Å, c = 8.653 Å
α = 90.00°, β = 104.35°, γ = 90.00°
Positions (direct):
Ac (0.000, 0.000, 0.000)
Cd (0.184, 0.500, 0.364)
Cd (0.311, 0.000, 0.628)
Cd (0.689, 0.000, 0.372)
Cd (0.816, 0.500, 0.636)
Ge (0.420, 0.500, 0.846)
Ge (0.580, 0.500, 0.154)

Formation energy from the elements ... -26 kJ/mol of atoms
Distance to the lowest polymorph of the same formula ... 0.00 eV/f.u.

No. 2
Computed, not measured: crystalline Ho12SbPd6 at its relaxed geometry at the PBE level of DFT.

a = 8.595 Å, b = 8.595 Å, c = 8.595 Å
α = 109.47°, β = 109.47°, γ = 109.47°
Positions (direct):
Ho (0.113, 0.298, 0.815)
Ho (0.185, 0.483, 0.298)
Ho (0.185, 0.887, 0.702)
Ho (0.298, 0.185, 0.483)
Ho (0.298, 0.815, 0.113)
Ho (0.483, 0.298, 0.185)
Ho (0.517, 0.702, 0.815)
Ho (0.702, 0.185, 0.887)
Ho (0.702, 0.815, 0.517)
Ho (0.815, 0.113, 0.298)
Ho (0.815, 0.517, 0.702)
Ho (0.887, 0.702, 0.185)
Sb (0.000, 0.000, 0.000)
Pd (0.137, 0.500, 0.637)
Pd (0.363, 0.863, 0.500)
Pd (0.500, 0.363, 0.863)
Pd (0.500, 0.637, 0.137)
Pd (0.637, 0.137, 0.500)
Pd (0.863, 0.500, 0.363)

Uncorrected formation energy ... -675 meV/atom